# 1
The following is a PBE calculation of an optimized crystal structure of FeSiIr, from Alexandria.

The space group is Fmm2 (No. 42) and the conventional cell measures 2.823, 4.662 and 12.092 Å, with angles of 90.00, 90.00 and 90.00 degrees. Symmetry generates all atoms from Fe at (0.000, 0.000, 0.000), Si at (0.000, 0.000, 0.652) and Ir at (0.000, 0.000, 0.315).

Its calculated volume is 13.26 A^3/atom. As for the total moment: 2.100 μB/f.u. The calculation puts the raw formation energy at -0.005 eV per atom.



# 2
The following is a PBE calculation of an optimized crystal structure of UInPt2, from Alexandria.

The space group is P6_3/mmc (No. 194) and the conventional cell measures 4.6173, 4.6173 and 8.9104 Å, with angles of 90.00, 90.00 and 120.00 degrees. Symmetry generates all atoms from U at (0.3333, 0.6667, 0.2500), In at (0.0000, 0.0000, 0.0000) and Pt at (0.3333, 0.6667, 0.5908).

The energy relative to the elements is -57 kJ/mol of atoms. Its calculated volume is 20.56 A^3/atom. As for the total moment: 1.868 μB/f.u.